1.
A relaxed structure of CsRbBi2. Source: the Alexandria database, functional GGA-PBE.

Output
* spin magnetization: 0.0 Bohr magnetons per cell
* symmetry: No. 26
* crystal system: orthorhombic

Unit cell a=4.9219 b=7.4044 c=11.1147 alpha=90.00 beta=90.00 gamma=90.00
Element x y z (fractional)
Bi1 0.5000 0.8593 0.4709
Bi2 0.0000 0.3735 0.0312
Bi3 0.5000 0.1407 0.9709
Bi4 0.0000 0.6265 0.5312
Rb1 0.5000 0.3608 0.3115
Rb2 0.5000 0.6392 0.8115
Cs1 0.0000 0.1409 0.6864
Cs2 0.0000 0.8591 0.1864


2.
A relaxed structure of CsRbBi2. Source: the Alexandria database, functional GGA-PBE.

Output
* spin magnetization: 0.0 Bohr magnetons per cell
* symmetry: No. 122
* crystal system: tetragonal

Unit cell a=10.7238 b=10.7238 c=8.2765 alpha=49.62 beta=49.62 gamma=90.00
Element x y z (fractional)
Bi1 0.3750 0.3829 0.7500
Bi2 0.8750 0.8671 0.7500
Bi3 0.1329 0.6250 0.2500
Bi4 0.6171 0.1250 0.2500
Cs1 0.0000 0.0000 0.0000
Cs2 0.7500 0.2500 0.5000
Rb1 0.5000 0.5000 0.0000
Rb2 0.2500 0.7500 0.5000


Stability verdict: 1, ahead by 338 meV/atom


1.
A relaxed structure of CsZnReBi. Source: the Alexandria database, functional GGA-PBE.

Output
* spin magnetization: 1.8 Bohr magnetons per cell
* symmetry: No. 160
* crystal system: trigonal

Unit cell a=4.4480 b=4.4480 c=22.2185 alpha=90.00 beta=90.00 gamma=120.00
Last column: magnetic moment on the atom in μB.
Element x y z (fractional)
Bi1 0.6667 0.3333 0.2184  -0.02
Bi2 0.0000 0.0000 0.8851  -0.02
Bi3 0.3333 0.6667 0.5517  -0.02
Re1 0.0000 0.0000 0.6001  0.54
Re2 0.6667 0.3333 0.9334  0.54
Re3 0.3333 0.6667 0.2668  0.54
Zn1 0.0000 0.0000 0.2964  -0.01
Zn2 0.3333 0.6667 0.9631  -0.01
Zn3 0.6667 0.3333 0.6298  -0.01
Cs1 0.0000 0.0000 0.0818  0.00
Cs2 0.3333 0.6667 0.7485  0.00
Cs3 0.6667 0.3333 0.4152  0.00


2.
A relaxed structure of CsZnReBi. Source: the Alexandria database, functional GGA-PBE.

Output
* spin magnetization: 0.0 Bohr magnetons per cell
* symmetry: No. 6
* crystal system: monoclinic

Unit cell a=3.5343 b=3.5667 c=8.9958 alpha=90.00 beta=101.08 gamma=90.00
Element x y z (fractional)
Cs1 0.7591 0.5000 0.1313
Re1 0.5560 0.5000 0.7183
Bi1 0.4338 0.0000 0.4814
Zn1 0.0967 0.0000 0.8008


Stability verdict: 2, ahead by 66 meV/atom


1.
A relaxed structure of CsZnReBi. Source: the Alexandria database, functional GGA-PBE.

Output
* spin magnetization: 2.0 Bohr magnetons per cell
* symmetry: No. 160
* crystal system: trigonal

Unit cell a=4.4469 b=4.4469 c=22.6350 alpha=90.00 beta=90.00 gamma=120.00
Last column: magnetic moment on the atom in μB.
Element x y z (fractional)
Bi1 0.3333 0.6667 0.8741  -0.03
Bi2 0.0000 0.0000 0.2075  -0.03
Bi3 0.6667 0.3333 0.5408  -0.03
Zn1 0.0000 0.0000 0.9511  -0.01
Zn2 0.6667 0.3333 0.2844  -0.01
Zn3 0.3333 0.6667 0.6178  -0.01
Re1 0.6667 0.3333 0.9232  0.61
Re2 0.3333 0.6667 0.2566  0.61
Re3 0.0000 0.0000 0.5899  0.61
Cs1 0.6667 0.3333 0.7332  0.00
Cs2 0.0000 0.0000 0.3999  0.00
Cs3 0.3333 0.6667 0.0666  0.00


2.
A relaxed structure of CsZnReBi. Source: the Alexandria database, functional GGA-PBE.

Output
* spin magnetization: 1.5 Bohr magnetons per cell
* symmetry: No. 8
* crystal system: monoclinic

Unit cell a=5.2121 b=4.7827 c=13.3732 alpha=90.00 beta=91.28 gamma=90.00
Last column: magnetic moment on the atom in μB.
Element x y z (fractional)
Zn1 0.1012 0.0000 0.8476  -0.01
Zn2 0.1012 0.5000 0.3476  -0.01
Cs1 0.0788 0.0000 0.5705  0.01
Cs2 0.0788 0.5000 0.0705  0.01
Bi1 0.5940 0.0000 0.2898  -0.03
Bi2 0.5940 0.5000 0.7898  -0.03
Re1 0.0943 0.5000 0.7945  0.66
Re2 0.0943 0.0000 0.2945  0.66


3.
A relaxed structure of CsZnReBi. Source: the Alexandria database, functional GGA-PBE.

Output
* spin magnetization: 0.0 Bohr magnetons per cell
* symmetry: No. 1
* crystal system: triclinic

Unit cell a=3.7372 b=5.1759 c=7.6060 alpha=106.36 beta=90.09 gamma=111.16
Element x y z (fractional)
Zn1 0.8662 0.6234 0.8095
Re1 0.3779 0.6482 0.6018
Bi1 0.0835 0.0593 0.5707
Cs1 0.6771 0.2512 0.1497


4.
A relaxed structure of CsZnReBi. Source: the Alexandria database, functional GGA-PBE.

Output
* spin magnetization: 0.0 Bohr magnetons per cell
* symmetry: No. 99
* crystal system: tetragonal

Unit cell a=3.4175 b=3.4175 c=8.8632 alpha=90.00 beta=90.00 gamma=90.00
Element x y z (fractional)
Bi1 0.5000 0.5000 0.4954
Zn1 0.5000 0.5000 0.8193
Cs1 0.0000 0.0000 0.1327
Re1 0.0000 0.0000 0.6843


Stability verdict: 4, ahead by 168 meV/atom


1.
A relaxed structure of CsBi3Ru. Source: the Alexandria database, functional GGA-PBE.

Output
* spin magnetization: 0.0 Bohr magnetons per cell
* symmetry: No. 221
* crystal system: cubic

Unit cell a=5.5179 b=5.5179 c=5.5179 alpha=90.00 beta=90.00 gamma=90.00
Element x y z (fractional)
Bi1 0.5000 0.0000 0.0000
Bi2 0.0000 0.5000 0.0000
Bi3 0.0000 0.0000 0.5000
Cs1 0.5000 0.5000 0.5000
Ru1 0.0000 0.0000 0.0000


2.
A relaxed structure of CsBi3Ru. Source: the Alexandria database, functional GGA-PBE.

Output
* spin magnetization: 2.9 Bohr magnetons per cell
* symmetry: No. 221
* crystal system: cubic

Unit cell a=6.1753 b=6.1753 c=6.1753 alpha=90.00 beta=90.00 gamma=90.00
Last column: magnetic moment on the atom in μB.
Element x y z (fractional)
Ru1 0.5000 0.5000 0.5000  2.68
Bi1 0.0000 0.0000 0.5000  -0.04
Bi2 0.0000 0.5000 0.0000  0.01
Bi3 0.5000 0.0000 0.0000  0.01
Cs1 0.0000 0.0000 0.0000  0.01


Stability verdict: 1, ahead by 1983 meV/atom


1.
A relaxed structure of Cs2BiS. Source: the Alexandria database, functional GGA-PBE.

Output
* spin magnetization: 3.0 Bohr magnetons per cell
* symmetry: No. 225
* crystal system: cubic

Unit cell a=6.3191 b=6.3191 c=6.3191 alpha=60.00 beta=60.00 gamma=60.00
Last column: magnetic moment on the atom in μB.
Element x y z (fractional)
Bi1 0.5000 0.5000 0.5000  1.38
S1 0.0000 0.0000 0.0000  0.39
Cs1 0.2500 0.2500 0.2500  0.05
Cs2 0.7500 0.7500 0.7500  0.05


2.
A relaxed structure of Cs2BiS. Source: the Alexandria database, functional GGA-PBE.

Output
* spin magnetization: 0.0 Bohr magnetons per cell
* symmetry: No. 122
* crystal system: tetragonal

Unit cell a=12.5055 b=12.5055 c=9.2762 alpha=47.62 beta=47.62 gamma=90.00
Element x y z (fractional)
Cs1 0.4678 0.1250 0.2500
Cs2 0.2822 0.6250 0.2500
Cs3 0.3750 0.5322 0.7500
Cs4 0.8750 0.7178 0.7500
Bi1 0.0000 0.0000 0.0000
Bi2 0.7500 0.2500 0.5000
S1 0.2500 0.7500 0.5000
S2 0.5000 0.5000 0.0000


Stability verdict: 2, ahead by 336 meV/atom


1.
A relaxed structure of CsBi4S6. Source: the Alexandria database, functional GGA-PBE.

Output
* spin magnetization: 0.0 Bohr magnetons per cell
* symmetry: No. 63
* crystal system: orthorhombic

Unit cell a=4.3376 b=7.1609 c=21.3609 alpha=90.00 beta=90.00 gamma=107.63
Element x y z (fractional)
Cs1 0.6525 0.3050 0.2500
Cs2 0.3475 0.6950 0.7500
S1 0.9753 0.9506 0.8518
S2 0.5000 0.0000 0.5000
S3 0.5000 0.0000 0.0000
S4 0.3439 0.6878 0.2500
S5 0.0247 0.0494 0.1482
S6 0.9753 0.9506 0.6482
S7 0.0247 0.0494 0.3518
S8 0.6561 0.3122 0.7500
S9 0.2447 0.4894 0.9202
S10 0.7553 0.5106 0.0798
S11 0.7553 0.5106 0.4202
S12 0.2447 0.4894 0.5798
Bi1 0.1350 0.2699 0.4607
Bi2 0.4046 0.8091 0.3672
Bi3 0.4046 0.8091 0.1328
Bi4 0.8650 0.7301 0.5393
Bi5 0.1350 0.2699 0.0393
Bi6 0.5954 0.1909 0.8672
Bi7 0.5954 0.1909 0.6328
Bi8 0.8650 0.7301 0.9607


2.
A relaxed structure of CsBi4S6. Source: the Alexandria database, functional GGA-PBE.

Output
* spin magnetization: 0.0 Bohr magnetons per cell
* symmetry: No. 121
* crystal system: tetragonal

Unit cell a=7.8131 b=7.8131 c=7.8131 alpha=84.15 beta=123.43 gamma=123.43
Element x y z (fractional)
S1 0.6543 0.1314 0.1314
S2 0.5000 0.0000 0.5000
S3 0.3457 0.4771 0.4771
S4 0.5000 0.5000 0.0000
S5 0.0000 0.8686 0.5229
S6 0.0000 0.5229 0.8686
Cs1 0.0000 0.0000 0.0000
Bi1 0.6451 0.4391 0.4391
Bi2 0.3549 0.7940 0.7940
Bi3 0.0000 0.5609 0.2060
Bi4 0.0000 0.2060 0.5609


Stability verdict: 1, ahead by 187 meV/atom


1.
A relaxed structure of CsBi2S. Source: the Alexandria database, functional GGA-PBE.

Output
* spin magnetization: 0.0 Bohr magnetons per cell
* symmetry: No. 225
* crystal system: cubic

Unit cell a=5.6988 b=5.6988 c=5.6988 alpha=60.00 beta=60.00 gamma=60.00
Element x y z (fractional)
Bi1 0.7500 0.7500 0.7500
Bi2 0.2500 0.2500 0.2500
Cs1 0.5000 0.5000 0.5000
S1 0.0000 0.0000 0.0000


2.
A relaxed structure of CsBi2S. Source: the Alexandria database, functional GGA-PBE.

Output
* spin magnetization: 0.0 Bohr magnetons per cell
* symmetry: No. 122
* crystal system: tetragonal

Unit cell a=9.5582 b=9.5582 c=7.5224 alpha=50.56 beta=50.56 gamma=90.00
Element x y z (fractional)
Bi1 0.8750 0.7834 0.7500
Bi2 0.3750 0.4666 0.7500
Bi3 0.5334 0.1250 0.2500
Bi4 0.2166 0.6250 0.2500
Cs1 0.0000 0.0000 0.0000
Cs2 0.7500 0.2500 0.5000
S1 0.5000 0.5000 0.0000
S2 0.2500 0.7500 0.5000


Stability verdict: 2, ahead by 471 meV/atom


1.
A relaxed structure of Cs8Bi2S. Source: the Alexandria database, functional GGA-PBE.

Output
* spin magnetization: 0.0 Bohr magnetons per cell
* symmetry: No. 12
* crystal system: monoclinic

Unit cell a=6.5643 b=10.3695 c=11.9846 alpha=103.36 beta=90.00 gamma=108.45
Element x y z (fractional)
S1 0.5000 0.0000 0.0000
Cs1 0.0765 0.1531 0.1331
Cs2 0.5381 0.0762 0.7369
Cs3 0.3024 0.6048 0.9309
Cs4 0.1946 0.3893 0.5552
Cs5 0.9235 0.8469 0.8669
Cs6 0.8054 0.6107 0.4448
Cs7 0.4619 0.9238 0.2631
Cs8 0.6976 0.3952 0.0691
Bi1 0.7302 0.4604 0.7395
Bi2 0.2698 0.5396 0.2605


2.
A relaxed structure of Cs8Bi2S. Source: the Alexandria database, functional GGA-PBE.

Output
* spin magnetization: 0.0 Bohr magnetons per cell
* symmetry: No. 12
* crystal system: monoclinic

Unit cell a=6.5042 b=8.7971 c=11.7149 alpha=109.94 beta=106.12 gamma=90.00
Element x y z (fractional)
Cs1 0.7837 0.7221 0.5674
Cs2 0.0131 0.7829 0.0262
Cs3 0.9869 0.2171 0.9738
Cs4 0.6511 0.9406 0.3021
Cs5 0.6021 0.4005 0.2042
Cs6 0.3979 0.5995 0.7958
Cs7 0.2163 0.2779 0.4326
Cs8 0.3489 0.0594 0.6979
Bi1 0.8325 0.3272 0.6650
Bi2 0.1675 0.6728 0.3350
S1 0.5000 0.0000 0.0000


Stability verdict: 2, ahead by 52 meV/atom


1.
A relaxed structure of CsSiBiS4. Source: the Alexandria database, functional GGA-PBE.

Output
* spin magnetization: 0.0 Bohr magnetons per cell
* symmetry: No. 11
* crystal system: monoclinic

Unit cell a=6.6064 b=6.8686 c=9.4808 alpha=90.00 beta=108.03 gamma=90.00
Element x y z (fractional)
S1 0.9906 0.4938 0.6992
S2 0.5850 0.2500 0.8044
S3 0.4150 0.7500 0.1956
S4 0.4223 0.7500 0.5636
S5 0.5777 0.2500 0.4364
S6 0.0094 0.9938 0.3008
S7 0.0094 0.5062 0.3008
S8 0.9906 0.0062 0.6992
Bi1 0.7694 0.7500 0.4631
Bi2 0.2306 0.2500 0.5369
Cs1 0.7254 0.7500 0.9374
Cs2 0.2746 0.2500 0.0626
Si1 0.2238 0.7500 0.3381
Si2 0.7762 0.2500 0.6619


2.
A relaxed structure of CsSiBiS4. Source: the Alexandria database, functional GGA-PBE.

Output
* spin magnetization: 0.0 Bohr magnetons per cell
* symmetry: No. 14
* crystal system: monoclinic

Unit cell a=7.0831 b=9.4620 c=13.1601 alpha=72.55 beta=90.00 gamma=90.00
Element x y z (fractional)
S1 0.9997 0.7984 0.2375
S2 0.5003 0.7984 0.7375
S3 0.7083 0.9396 0.9448
S4 0.7396 0.3035 0.9564
S5 0.7917 0.9396 0.4448
S6 0.7604 0.3035 0.4564
S7 0.2083 0.0604 0.5552
S8 0.5189 0.2123 0.7396
S9 0.9811 0.2123 0.2396
S10 0.2604 0.6965 0.0436
S11 0.4997 0.2016 0.2625
S12 0.2396 0.6965 0.5436
S13 0.4811 0.7877 0.2604
S14 0.2917 0.0604 0.0552
S15 0.0003 0.2016 0.7625
S16 0.0189 0.7877 0.7604
Cs1 0.7483 0.5686 0.6102
Cs2 0.2517 0.4314 0.3898
Cs3 0.7517 0.5686 0.1102
Cs4 0.2483 0.4314 0.8898
Bi1 0.6529 0.0519 0.1305
Bi2 0.3471 0.9481 0.8695
Bi3 0.8471 0.0519 0.6305
Bi4 0.1529 0.9481 0.3695
Si1 0.7435 0.1711 0.8516
Si2 0.2435 0.8289 0.6484
Si3 0.2565 0.8289 0.1484
Si4 0.7565 0.1711 0.3516


Stability verdict: 2, ahead by 15 meV/atom


1.
A relaxed structure of Cs3BiSb. Source: the Alexandria database, functional GGA-PBE.

Output
* spin magnetization: 0.0 Bohr magnetons per cell
* symmetry: No. 13
* crystal system: monoclinic

Unit cell a=7.6513 b=7.1738 c=21.3556 alpha=90.00 beta=118.28 gamma=90.00
Element x y z (fractional)
Cs1 0.7453 0.1579 0.8760
Cs2 0.2778 0.4486 0.2848
Cs3 0.2547 0.1579 0.6240
Cs4 0.7222 0.5514 0.7152
Cs5 0.2778 0.5514 0.7848
Cs6 0.7222 0.4486 0.2152
Cs7 0.3343 0.2494 0.0036
Cs8 0.7453 0.8421 0.3760
Cs9 0.2547 0.8421 0.1240
Cs10 0.6657 0.2494 0.4964
Cs11 0.3343 0.7506 0.5036
Cs12 0.6657 0.7506 0.9964
Bi1 0.0626 0.2775 0.4114
Bi2 0.0626 0.7225 0.9114
Bi3 0.9374 0.2775 0.0886
Bi4 0.9374 0.7225 0.5886
Sb1 0.1435 0.9845 0.3235
Sb2 0.1435 0.0155 0.8235
Sb3 0.8565 0.9845 0.1765
Sb4 0.8565 0.0155 0.6765


2.
A relaxed structure of Cs3BiSb. Source: the Alexandria database, functional GGA-PBE.

Output
* spin magnetization: 3.0 Bohr magnetons per cell
* symmetry: No. 221
* crystal system: cubic

Unit cell a=7.2163 b=7.2163 c=7.2163 alpha=90.00 beta=90.00 gamma=90.00
Last column: magnetic moment on the atom in μB.
Element x y z (fractional)
Cs1 0.0000 0.0000 0.5000  0.04
Cs2 0.0000 0.5000 0.0000  0.03
Cs3 0.5000 0.0000 0.0000  0.02
Sb1 0.0000 0.0000 0.0000  0.38
Bi1 0.5000 0.5000 0.5000  0.97


Stability verdict: 1, ahead by 442 meV/atom